The following is a GGA-PBE calculation of crystalline MnNiSb2 at its relaxed geometry, from Alexandria via LeMat-Bulk.

a = 3.2619 Å, b = 3.2619 Å, c = 7.1580 Å
α = 90.00°, β = 90.00°, γ = 100.27°
Element x y z (fractional)
Mn 0.5000 0.5000 0.2500
Ni 0.5000 0.5000 0.7500
Sb 0.0000 0.0000 0.9851
Sb 0.0000 0.0000 0.5149

## Properties
* uncorrected energy: -0.2052 hartree per atom
* formation energy from raw total energies: 0.2152 eV/atom
* density of states at the Fermi level: 1.91 states/eV/cell

***

The following is a GGA-PBE calculation of crystalline MnNi12Sb3 at its relaxed geometry, from Alexandria via LeMat-Bulk.

a = 3.7095 Å, b = 3.7095 Å, c = 14.6393 Å
α = 90.00°, β = 90.00°, γ = 90.00°
Element x y z (fractional)
Mn 0.0000 0.0000 0.0000
Ni 0.5000 0.5000 0.0000
Ni 0.5000 0.5000 0.2478
Ni 0.5000 0.5000 0.5000
Ni 0.5000 0.5000 0.7522
Ni 0.5000 0.0000 0.1166
Ni 0.5000 0.0000 0.3725
Ni 0.5000 0.0000 0.6275
Ni 0.5000 0.0000 0.8834
Ni 0.0000 0.5000 0.1166
Ni 0.0000 0.5000 0.3725
Ni 0.0000 0.5000 0.6275
Ni 0.0000 0.5000 0.8834
Sb 0.0000 0.0000 0.2413
Sb 0.0000 0.0000 0.5000
Sb 0.0000 0.0000 0.7587

## Properties
* uncorrected energy: -0.2138 hartree per atom
* formation energy from raw total energies: -0.1350 eV/atom
* density of states at the Fermi level: 9.64 states/eV/cell

***

The following is a GGA-PBE calculation of crystalline Mn2NiSb8 at its relaxed geometry, from Alexandria via LeMat-Bulk.

a = 5.1939 Å, b = 8.8309 Å, c = 7.5723 Å
α = 125.70°, β = 90.01°, γ = 89.99°
Element x y z (fractional)
Mn 0.2327 0.3876 0.7752
Mn 0.7673 0.6124 0.2248
Ni 0.0000 0.0000 0.0000
Sb 0.2601 0.6081 0.2155
Sb 0.7399 0.3919 0.7845
Sb 0.7014 0.8827 0.1720
Sb 0.2910 0.1723 0.3445
Sb 0.2988 0.7106 0.8281
Sb 0.2986 0.1173 0.8280
Sb 0.7090 0.8277 0.6555
Sb 0.7012 0.2894 0.1719

## Properties
* uncorrected energy: -0.1869 hartree per atom
* formation energy from raw total energies: 0.1050 eV/atom
* density of states at the Fermi level: 6.67 states/eV/cell

***

The following is a GGA-PBE calculation of crystalline MnNiSb at its relaxed geometry, from Alexandria via LeMat-Bulk.

a = 4.2764 Å, b = 4.2764 Å, c = 3.0728 Å
α = 90.00°, β = 90.00°, γ = 120.00°
Element x y z (fractional)
Mn 0.0000 0.0000 0.0008
Ni 0.6667 0.3333 0.4961
Sb 0.3333 0.6667 0.5031

## Properties
* uncorrected energy: -0.2308 hartree per atom
* formation energy from raw total energies: 0.0762 eV/atom
* density of states at the Fermi level: 1.54 states/eV/cell

***

The following is a GGA-PBE calculation of crystalline MnNiSb2 at its relaxed geometry, from Alexandria via LeMat-Bulk.

a = 3.2441 Å, b = 3.2441 Å, c = 7.7171 Å
α = 90.00°, β = 90.00°, γ = 90.00°
Element x y z (fractional)
Mn 0.0000 0.0000 0.5486
Ni 0.5000 0.5000 0.7076
Sb 0.0000 0.0000 0.9096
Sb 0.5000 0.5000 0.3342

## Properties
* uncorrected energy: -0.2122 hartree per atom
* formation energy from raw total energies: 0.0253 eV/atom
* density of states at the Fermi level: 2.53 states/eV/cell

***

The following is a GGA-PBE calculation of crystalline MnNi2Sb at its relaxed geometry, from Alexandria via LeMat-Bulk.

a = 3.8398 Å, b = 3.7385 Å, c = 3.8397 Å
α = 89.98°, β = 90.00°, γ = 90.00°
Element x y z (fractional)
Mn 0.5000 0.6250 0.8750
Ni 0.0000 0.1250 0.8750
Ni 0.5000 0.1250 0.3750
Sb 0.0000 0.6250 0.3750

## Properties
* uncorrected energy: -0.2312 hartree per atom
* formation energy from raw total energies: -0.0776 eV/atom
* density of states at the Fermi level: 3.67 states/eV/cell

***

The following is a GGA-PBE calculation of crystalline MnNiSb at its relaxed geometry, from Alexandria via LeMat-Bulk.

a = 3.4870 Å, b = 3.4870 Å, c = 4.6209 Å
α = 112.17°, β = 112.17°, γ = 90.00°
Element x y z (fractional)
Sb 0.2825 0.2825 0.5650
Mn 0.6138 0.6138 0.2276
Ni 0.9537 0.9537 0.9074

## Properties
* uncorrected energy: -0.2300 hartree per atom
* formation energy from raw total energies: 0.0982 eV/atom
* density of states at the Fermi level: 2.48 states/eV/cell

***

The following is a GGA-PBE calculation of crystalline Mn2NiSb at its relaxed geometry, from Alexandria via LeMat-Bulk.

a = 3.1467 Å, b = 3.1467 Å, c = 5.6457 Å
α = 90.00°, β = 90.00°, γ = 90.00°
Element x y z (fractional)
Mn 0.0000 0.0000 0.0216
Mn 0.5000 0.5000 0.2513
Ni 0.0000 0.0000 0.4791
Sb 0.5000 0.5000 0.7480

## Properties
* uncorrected energy: -0.2531 hartree per atom
* formation energy from raw total energies: 0.1745 eV/atom
* density of states at the Fermi level: 2.46 states/eV/cell

***

Number 2 is which compound?
MnNi12Sb3